(1)
CePrOs: optimized geometry, PBE.

a = 4.8968 Å, b = 4.8968 Å, c = 4.8968 Å
α = 60.00°, β = 60.00°, γ = 60.00°
Fractional coordinates of all 3 atoms:
Ce 0.0000 0.0000 0.0000
Pr 0.5000 0.5000 0.5000
Os 0.2500 0.2500 0.2500

Properties
Crystal system ... cubic
E above lowest polymorph ... 69 meV per atom
Formation enthalpy at 0 K ... -0.02 eV/atom

(2)
DyMgScZn: optimized geometry, PBE.

a = 3.4722 Å, b = 3.4722 Å, c = 7.6368 Å
α = 90.00°, β = 90.00°, γ = 90.00°
Fractional coordinates of all 4 atoms:
Dy 0.0000 0.0000 0.0000
Mg 0.5000 0.5000 0.2964
Sc 0.0000 0.0000 0.5574
Zn 0.5000 0.5000 0.7536

Properties
Crystal system ... tetragonal
E above lowest polymorph ... 0 meV per atom
Formation enthalpy at 0 K ... -0.20 eV/atom

(3)
CsMoPt2: optimized geometry, PBE.

a = 6.9055 Å, b = 6.9055 Å, c = 6.9055 Å
α = 111.48°, β = 111.48°, γ = 105.52°
Fractional coordinates of all 8 atoms:
Cs 0.0000 0.0000 0.0000
Cs 0.7500 0.2500 0.5000
Mo 0.2500 0.7500 0.5000
Mo 0.5000 0.5000 0.0000
Pt 0.2381 0.6250 0.1131
Pt 0.3750 0.4881 0.6131
Pt 0.5119 0.1250 0.8869
Pt 0.8750 0.7619 0.3869

Properties
Crystal system ... tetragonal
E above lowest polymorph ... 0 meV per atom
Formation enthalpy at 0 K ... 0.66 eV/atom

(4)
Ce5Bi3Ru: optimized geometry, PBE.

a = 9.6298 Å, b = 9.6298 Å, c = 6.4145 Å
α = 90.00°, β = 90.00°, γ = 120.00°
Fractional coordinates of all 18 atoms:
Ce 0.0000 0.2413 0.2500
Ce 0.0000 0.7587 0.7500
Ce 0.2413 0.0000 0.2500
Ce 0.2413 0.2413 0.7500
Ce 0.3333 0.6667 0.0000
Ce 0.3333 0.6667 0.5000
Ce 0.6667 0.3333 0.0000
Ce 0.6667 0.3333 0.5000
Ce 0.7587 0.0000 0.7500
Ce 0.7587 0.7587 0.2500
Bi 0.0000 0.3929 0.7500
Bi 0.0000 0.6071 0.2500
Bi 0.3929 0.0000 0.7500
Bi 0.3929 0.3929 0.2500
Bi 0.6071 0.0000 0.2500
Bi 0.6071 0.6071 0.7500
Ru 0.0000 0.0000 0.0000
Ru 0.0000 0.0000 0.5000

Properties
Crystal system ... hexagonal
Formation enthalpy at 0 K ... -0.64 eV/atom

(5)
Zn2SiF8: optimized geometry, PBE.

a = 5.5154 Å, b = 5.5154 Å, c = 4.3048 Å
α = 90.53°, β = 90.53°, γ = 73.36°
Fractional coordinates of all 11 atoms:
Zn 0.1258 0.1258 0.2482
Zn 0.8742 0.8742 0.7518
Si 0.5000 0.5000 0.0000
F 0.1025 0.1025 0.7392
F 0.2246 0.5910 0.7894
F 0.3502 0.3502 0.2542
F 0.4090 0.7754 0.2106
F 0.5910 0.2246 0.7894
F 0.6498 0.6498 0.7458
F 0.7754 0.4090 0.2106
F 0.8975 0.8975 0.2608

Properties
Crystal system ... monoclinic
Energy relative to the elements, uncorrected ... -2.62 eV/atom

(6)
Ba2BeIn: optimized geometry, PBE.

a = 4.0253 Å, b = 4.1262 Å, c = 8.4357 Å
α = 90.00°, β = 90.00°, γ = 90.00°
Fractional coordinates of all 4 atoms:
Ba 0.0000 0.0000 0.2280
Ba 0.0000 0.0000 0.7720
Be 0.5000 0.5000 0.0000
In 0.5000 0.5000 0.5000

Properties
Crystal system ... orthorhombic
E above lowest polymorph ... 66 meV per atom
Formation enthalpy at 0 K ... 0.12 eV/atom

(7)
CeDyU: optimized geometry, PBE.

a = 8.1856 Å, b = 8.1856 Å, c = 8.1856 Å
α = 157.84°, β = 157.84°, γ = 31.55°
Fractional coordinates of all 3 atoms:
Ce 0.0000 0.0000 0.0000
Dy 0.6888 0.6888 0.0000
U 0.3489 0.3489 0.0000

Properties
Crystal system ... tetragonal
E above lowest polymorph ... 0 meV per atom
Formation enthalpy at 0 K ... 0.30 eV/atom

(8)
TbNd2Sm3P6: optimized geometry, PBE.

a = 9.1997 Å, b = 9.1997 Å, c = 8.2292 Å
α = 102.94°, β = 102.94°, γ = 25.86°
Fractional coordinates of all 12 atoms:
Tb 0.0000 0.0000 0.0000
Nd 0.3341 0.3341 0.6679
Nd 0.6659 0.6659 0.3321
Sm 0.0000 0.0000 0.5000
Sm 0.3332 0.3332 0.1661
Sm 0.6668 0.6668 0.8339
P 0.1652 0.1652 0.0799
P 0.1659 0.1659 0.5853
P 0.4989 0.4989 0.2460
P 0.5011 0.5011 0.7540
P 0.8341 0.8341 0.4147
P 0.8348 0.8348 0.9201

Properties
Crystal system ... monoclinic
Formation enthalpy at 0 K ... -1.56 eV/atom

What did the third record say?
CsMoPt2: optimized geometry, PBE.

a = 6.9055 Å, b = 6.9055 Å, c = 6.9055 Å
α = 111.48°, β = 111.48°, γ = 105.52°
Fractional coordinates of all 8 atoms:
Cs 0.0000 0.0000 0.0000
Cs 0.7500 0.2500 0.5000
Mo 0.2500 0.7500 0.5000
Mo 0.5000 0.5000 0.0000
Pt 0.2381 0.6250 0.1131
Pt 0.3750 0.4881 0.6131
Pt 0.5119 0.1250 0.8869
Pt 0.8750 0.7619 0.3869

Properties
Crystal system ... tetragonal
E above lowest polymorph ... 0 meV per atom
Formation enthalpy at 0 K ... 0.66 eV/atom